Tl2CoTc | GGA-PBEsol | optimized geometry

Results
Crystal system: orthorhombic
Formation energy from the elements: 0.66 eV/atom
Mass density: 13.16 Mg/m³

```
Tl2CoTc
1.0
-1.4449 2.2317 5.5348
1.4449 -2.2317 5.5348
1.4449 2.2317 -5.5348
Tl Co Tc
2 1 1
Direct
0.0000 0.0000 0.0000
0.7203 0.2203 0.5000
0.2223 0.7223 0.5000
0.4002 0.4002 0.0000
```

=====

CoTcW | GGA-PBEsol | optimized geometry

Results
Crystal system: cubic
Formation energy from the elements: 0.94 eV/atom
Mass density: 11.72 Mg/m³

```
CoTcW
1.0
0.0000 2.8902 2.8902
2.8902 0.0000 2.8902
2.8902 2.8902 0.0000
Co Tc W
1 1 1
Direct
0.0000 0.0000 0.0000
0.7500 0.7500 0.7500
0.5000 0.5000 0.5000
```

=====

CoTcW2 | GGA-PBEsol | optimized geometry

Results
Crystal system: orthorhombic
Formation energy from the elements: 0.20 eV/atom
Mass density: 15.44 Mg/m³

```
CoTcW2
1.0
-1.5824 2.1113 4.2217
1.5824 -2.1113 4.2217
1.5824 2.1113 -4.2217
Co Tc W
1 1 2
Direct
0.0000 0.0000 0.0000
0.7352 0.2352 0.5000
0.2434 0.7434 0.5000
0.4893 0.4893 0.0000
```

=====

CoTcW2 | GGA-PBEsol | optimized geometry

Results
Crystal system: tetragonal
Formation energy from the elements: 0.11 eV/atom
Mass density: 15.73 Mg/m³

```
CoTcW2
1.0
3.8647 0.0000 0.0000
0.0000 3.8647 0.0000
0.0000 0.0000 3.7090
Co Tc W
1 1 2
Direct
0.0000 0.0000 0.0000
0.5000 0.5000 0.0000
0.0000 0.5000 0.5000
0.5000 0.0000 0.5000
```